Computed, not measured: Ta2SbTe at its PBEsol-relaxed geometry at the meta-GGA SCAN level of DFT.

Results
- Total DFT energy (no corrections): -51.587 eV/atom
- DOS(E_F): 2.24 states/eV/cell
- Formation energy from raw total energies: 0.332 eV per atom
- Space-group type: No. 44

Cell lengths 5.953, 5.953, 5.953 Å; angles 147.50, 133.55, 57.83 degrees
Fractional coordinates of all 4 atoms:
Ta (0.000, 0.000, 0.000)
Ta (0.722, 0.222, 0.500)
Sb (0.497, 0.497, 0.000)
Te (0.216, 0.716, 0.500)


Computed, not measured: Ca2TaTe at its PBEsol-relaxed geometry at the meta-GGA SCAN level of DFT.

Results
- Total DFT energy (no corrections): -30.701 eV/atom
- DOS(E_F): 2.08 states/eV/cell
- Formation energy from raw total energies: 0.089 eV per atom
- Space-group type: No. 160

Cell lengths 10.239, 10.239, 10.239 Å; angles 20.27, 20.27, 20.27 degrees
Fractional coordinates of all 4 atoms:
Ca (0.000, 0.000, 0.000)
Ca (0.222, 0.222, 0.222)
Ta (0.474, 0.474, 0.474)
Te (0.746, 0.746, 0.746)


Computed, not measured: Mn3AlBr at its PBEsol-relaxed geometry at the meta-GGA SCAN level of DFT.

Results
- Total DFT energy (no corrections): -16.001 eV/atom
- DOS(E_F): 2.32 states/eV/cell
- Formation energy from raw total energies: 0.394 eV per atom
- Space-group type: No. 221

Cell lengths 4.879, 4.879, 4.879 Å; angles 90.00, 90.00, 90.00 degrees
Fractional coordinates of all 5 atoms:
Mn (0.000, 0.000, 0.500)
Mn (0.000, 0.500, 0.000)
Mn (0.500, 0.000, 0.000)
Al (0.000, 0.000, 0.000)
Br (0.500, 0.500, 0.500)